First-principles (PBE) data for a relaxed structure of Pa2BiC, as listed in Alexandria via LeMat-Bulk.

Computed properties:
Distance to the lowest polymorph of the same formula = 1.30 eV per formula unit
Magnetic moment = 0.00 μB/atom
Density of states at the Fermi level = 21.23 states/eV per cell

abc: 9.583 3.501 11.414
angles: 90.00 90.00 90.00
Space group Pnma (No. 62)
One atom of each set of equivalent atoms:
Pa 0.055 0.250 0.131 x4
Pa 0.213 0.750 0.332 x4
Bi 0.105 0.750 0.617 x4
C 0.087 0.250 0.929 x4

First-principles (PBE) data for a relaxed structure of Pa3BiC2, as listed in Alexandria via LeMat-Bulk.

Computed properties:
Magnetic moment = 0.31 μB/atom
Density of states at the Fermi level = 14.13 states/eV per cell

abc: 6.701 3.969 11.388
angles: 90.00 96.28 90.00
Space group P2_1/m (No. 11)
One atom of each set of equivalent atoms:
Pa 0.128 0.250 0.290 x2
Pa 0.187 0.250 0.947 x2
Pa 0.370 0.250 0.599 x2
Bi 0.392 0.750 0.149 x2
C 0.027 0.750 0.901 x2
C 0.435 0.250 0.407 x2

First-principles (PBE) data for a relaxed structure of Pa4Bi3C2, as listed in Alexandria via LeMat-Bulk.

Computed properties:
Magnetic moment = 0.21 μB/atom
Density of states at the Fermi level = 49.57 states/eV per cell

abc: 13.872 10.285 6.553
angles: 90.00 92.26 90.00
Space group C2/c (No. 15)
One atom of each set of equivalent atoms:
Pa 0.130 0.190 0.025 x8
Pa 0.177 0.432 0.578 x8
Bi 0.000 0.410 0.250 x4
Bi 0.106 0.130 0.531 x8
C 0.212 0.371 0.917 x8

First-principles (PBE) data for a relaxed structure of Pa2BiC, as listed in Alexandria via LeMat-Bulk.

Computed properties:
Distance to the lowest polymorph of the same formula = 0.00 eV per formula unit
Magnetic moment = 0.00 μB/atom
Density of states at the Fermi level = 14.77 states/eV per cell

abc: 3.3969 3.3969 26.1721
angles: 90.00 90.00 120.00
Space group R-3m (No. 166, hexagonal axes)
One atom of each set of equivalent atoms:
Pa 0.0000 0.0000 0.2234 x6
Bi 0.0000 0.0000 0.0000 x3
C 0.0000 0.0000 0.5000 x3

One value per record, in order, for E_tot: -8.04 -8.40 -7.80 -8.37 eV per atom.